Record 1
The following is a PBE calculation of PrGdCuAu after structural relaxation, from Alexandria.

Results
Its total magnetic moment is 1.832 μB per atom. As for the formation energy: -0.465 eV per atom. Its total energy is -7.0235 eV/atom.

Unit cell a=7.2823 b=7.2823 c=7.2823 alpha=90.00 beta=90.00 gamma=90.00
Closest atoms and distances in Å follow each position.
Space group F-43m (No. 216)
Asymmetric unit:
Pr  0.0000  0.0000  0.0000  4 Cu 3.15, 4 Au 3.15
Gd  0.0000  0.0000  0.5000  4 Cu 3.15, 4 Au 3.15
Cu  0.2500  0.2500  0.7500  4 Pr 3.15, 4 Gd 3.15
Au  0.2500  0.2500  0.2500  4 Gd 3.15, 4 Pr 3.15


Record 2
The following is a PBE calculation of Pa3Ga2SiNi9 after structural relaxation, from Alexandria.

Results
The uncorrected formation energy is -0.115 eV per atom. Its total magnetic moment is 0.075 μB per atom. Its total energy is -6.2484 eV/atom.

Unit cell a=6.2194 b=6.2194 c=7.5100 alpha=90.00 beta=90.00 gamma=120.00
Closest atoms and distances in Å follow each position.
Space group P-3m1 (No. 164)
Asymmetric unit:
Pa  0.0000  0.0000  0.0000  6 Ni 2.49
Pa  0.3333  0.6667  0.7018  9 Ni 2.87-3.14
Ga  0.3333  0.6667  0.2221  6 Ni 2.21-2.45
Si  0.0000  0.0000  0.5000  6 Ni 2.22
Ni  0.0000  0.5000  0.0000  2 Ga 2.45
Ni  0.1316  0.2633  0.2726  1 Ga 2.21, 1 Si 2.22, 2 Ni 2.46


Record 3
The following is a PBE calculation of Er12Co6Cu after structural relaxation, from Alexandria.

Results
Its total magnetic moment is 0.000 μB per atom. As for the formation energy: -0.054 eV per atom. Its total energy is -5.3955 eV/atom.

Unit cell a=12.1776 b=12.1776 c=10.7718 alpha=90.00 beta=90.00 gamma=120.00
Closest atoms and distances in Å follow each position.
Space group R-3 (No. 148, hexagonal axes)
Asymmetric unit:
Er  0.0282  0.2078  0.3846  4 Co 2.65-2.89
Er  0.0331  0.2125  0.8825  2 Co 2.59-2.64, 1 Cu 2.72
Co  0.0453  0.2616  0.6473  6 Er 2.59-2.89
Cu  0.0000  0.0000  0.0000  6 Er 2.72


Record 4
The following is a PBE calculation of Sr6Cd2N after structural relaxation, from Alexandria.

Results
The uncorrected formation energy is -0.300 eV per atom. Its total magnetic moment is 0.073 μB per atom. Its total energy is -2.5498 eV/atom.

Unit cell a=7.6306 b=7.6306 c=12.7419 alpha=90.00 beta=90.00 gamma=120.00
Closest atoms and distances in Å follow each position.
Space group P6_3mc (No. 186)
Asymmetric unit:
Sr  0.0155  0.5077  0.0000  1 N 2.57
Sr  0.1711  0.3422  0.2343  1 N 2.62
Cd  0.0000  0.0000  0.4906  12 Sr 3.82-3.97
Cd  0.3333  0.6667  0.7428  12 Sr 3.82-3.89
N  0.3333  0.6667  0.1162  6 Sr 2.57-2.62


Record 5
The following is a PBE calculation of PmSmDy5Tm2 after structural relaxation, from Alexandria.

Results
Its total magnetic moment is 0.000 μB per atom. As for the formation energy: 0.160 eV per atom. Its total energy is -4.4424 eV/atom.

Unit cell a=5.5944 b=19.8294 c=10.5546 alpha=90.00 beta=90.00 gamma=90.00
Closest atoms and distances in Å follow each position.
Space group Cmc2_1 (No. 36)
Asymmetric unit:
Pm  0.0000  0.0839  0.0000  5 Dy 3.05-3.26
Sm  0.0000  0.2997  0.5619  2 Tm 3.42-3.67, 8 Dy 3.48-3.78, 2 Pm 3.68
Dy  0.0000  0.0223  0.2866  2 Pm 3.08-3.26, 1 Dy 3.44, 2 Tm 3.45
Dy  0.0000  0.1090  0.5741  6 Dy 3.44-3.80, 4 Tm 3.53-3.58, 1 Sm 3.78
Dy  0.0000  0.2012  0.2580  3 Dy 3.39-3.56, 3 Sm 3.48-3.76, 3 Tm 3.49-3.75, 1 Pm 3.58
Dy  0.0000  0.2186  0.8601  1 Pm 3.05, 1 Tm 3.32, 2 Dy 3.39
Dy  0.0000  0.4828  0.5755  2 Pm 3.20, 3 Tm 3.36-3.57, 2 Dy 3.58
Tm  0.0000  0.3861  0.8698  9 Dy 3.32-3.65, 1 Sm 3.67
Tm  0.0000  0.3899  0.2861  7 Dy 3.36-3.75, 1 Sm 3.42, 2 Pm 3.63


Record 6
The following is a PBE calculation of HoSc5Co6 after structural relaxation, from Alexandria.

Results
Its total magnetic moment is 0.108 μB per atom. As for the formation energy: -0.311 eV per atom. Its total energy is -6.8835 eV/atom.

Unit cell a=4.4469 b=6.3534 c=13.3437 alpha=90.00 beta=90.00 gamma=90.00
Closest atoms and distances in Å follow each position.
Space group Immm (No. 71)
Asymmetric unit:
Ho  0.0000  0.0000  0.0000  8 Co 2.77-2.78
Sc  0.0000  0.0000  0.3336  8 Co 2.70-2.72
Sc  0.0000  0.5000  0.0000  8 Co 2.70-2.75
Sc  0.0000  0.5000  0.3301  8 Co 2.65-2.80
Co  0.0000  0.2406  0.5000  6 Sc 2.70-2.80, 2 Ho 2.77
Co  0.0000  0.2544  0.1695  7 Sc 2.65-2.75, 1 Ho 2.78


Question: Look up the total magnetic moment of the fourth one.
Answer: 0.073 μB per atom